Record 1
GGA-PBE YPuRe, optimized geometry; calculated formation energy = 0.342 eV per atom; M_tot = 4.6 μB per cell
1.0
0.000 3.369 3.369
3.369 0.000 3.369
3.369 3.369 0.000
Pu Re Y
1 1 1
direct
0.750 0.750 0.750
0.000 0.000 0.000
0.250 0.250 0.250

=====

Record 2
GGA-PBE SmYZnCo2, optimized geometry; calculated formation energy = -0.250 eV per atom; M_tot = 0.0 μB per cell
1.0
4.832 -2.304 0.360
3.101 4.330 0.656
-4.080 -2.186 2.714
Co Sm Y Zn
2 1 1 1
direct
0.790 0.499 0.291
0.208 0.499 0.709
0.209 0.209 0.000
0.791 0.791 0.000
0.502 0.002 0.500

=====

Record 3
GGA-PBE RbZn4B3O9, optimized geometry; raw total energy = -6.1045 eV per atom
1.0
6.799 0.000 0.049
0.000 5.010 0.000
-0.466 0.000 12.621
B O Rb Zn
6 18 2 8
direct
0.810 0.344 0.050
0.500 0.157 0.250
0.190 0.344 0.450
0.810 0.656 0.550
0.500 0.843 0.750
0.190 0.656 0.950
0.272 0.795 0.036
0.745 0.609 0.064
0.949 0.237 0.116
0.404 0.294 0.169
0.500 0.881 0.250
0.596 0.294 0.331
0.051 0.237 0.384
0.255 0.609 0.436
0.728 0.795 0.464
0.272 0.205 0.536
0.745 0.391 0.564
0.949 0.763 0.616
0.404 0.706 0.669
0.500 0.119 0.750
0.596 0.706 0.831
0.051 0.763 0.884
0.255 0.391 0.936
0.728 0.205 0.964
0.000 0.728 0.250
0.000 0.272 0.750
0.205 0.165 0.062
0.487 0.653 0.124
0.513 0.653 0.376
0.795 0.165 0.438
0.205 0.835 0.562
0.487 0.347 0.624
0.513 0.347 0.876
0.795 0.835 0.938

=====

Which formula does entry 2 have? SmYZnCo2